1.
This record from Alexandria via LeMat-Bulk describes an optimized crystal structure of BaNiO2. The functional is PBE with a Hubbard U.

a b c (Å): 6.174 6.174 6.174
angles (deg): 90.00 90.00 90.00
Space group Fm-3m (No. 225)
Unique sites:
Ba (0.000, 0.000, 0.000)
Ni (0.000, 0.000, 0.500)
O (0.250, 0.250, 0.250)

Properties
The total magnetization comes out at 0.500 μB per atom. Its total energy is -16.98 eV/f.u.

2.
This record from Alexandria via LeMat-Bulk describes an optimized crystal structure of BaNiO. The functional is PBE with a Hubbard U.

a b c (Å): 3.807 3.807 7.958
angles (deg): 90.00 90.00 90.00
Space group P4_2/mmc (No. 131)
Unique sites:
Ba (0.000, 0.000, 0.250)
Ni (0.500, 0.500, 0.000)
O (0.000, 0.500, 0.000)

Properties
The total magnetization comes out at 0.000 μB per atom. For the excess energy over the best structure of this formula in the dataset, the calculation gives 0.172 eV per atom.

3.
This record from Alexandria via LeMat-Bulk describes an optimized crystal structure of BaNiO. The functional is PBE with a Hubbard U.

a b c (Å): 4.6702 4.6702 7.4058
angles (deg): 90.00 90.00 120.00
Space group P6_3/mmc (No. 194)
Unique sites:
Ba (0.3333, 0.6667, 0.2500)
Ni (0.0000, 0.0000, 0.0000)
O (0.0000, 0.0000, 0.2500)

Properties
The total magnetization comes out at 0.000 μB per atom. For the excess energy over the best structure of this formula in the dataset, the calculation gives 0.193 eV per atom.

4.
This record from Alexandria via LeMat-Bulk describes an optimized crystal structure of BaNiO. The functional is PBE with a Hubbard U.

a b c (Å): 3.888 8.092 7.966
angles (deg): 90.00 90.00 90.00
Space group Amm2 (No. 38)
Unique sites:
Ba (0.000, 0.218, 0.000)
Ni (0.500, 0.000, 0.337)
Ni (0.500, 0.000, 0.693)
O (0.000, 0.000, 0.286)
O (0.500, 0.000, 0.936)

Properties
The total magnetization comes out at 0.000 μB per atom. For the excess energy over the best structure of this formula in the dataset, the calculation gives 0.166 eV per atom.

5.
This record from Alexandria via LeMat-Bulk describes an optimized crystal structure of BaNiO. The functional is PBE with a Hubbard U.

a b c (Å): 12.111 4.544 4.762
angles (deg): 90.00 98.30 90.00
Space group Cm (No. 8)
Unique sites:
Ba (0.000, 0.000, 0.000)
Ba (0.199, 0.500, 0.535)
Ni (0.297, 0.000, 0.974)
Ni (0.372, 0.000, 0.521)
O (0.012, 0.500, 0.714)
O (0.228, 0.000, 0.284)

Properties
The total magnetization comes out at 0.000 μB per atom. For the excess energy over the best structure of this formula in the dataset, the calculation gives 0.250 eV per atom.

6.
This record from Alexandria via LeMat-Bulk describes an optimized crystal structure of BaNiO2. The functional is PBE with a Hubbard U.

a b c (Å): 4.1881 4.1881 17.9230
angles (deg): 90.00 90.00 120.00
Space group R-3m (No. 166, hexagonal axes)
Unique sites:
Ba (0.0000, 0.0000, 0.0000)
Ni (0.0000, 0.0000, 0.5000)
O (0.0000, 0.0000, 0.4036)

Properties
The total magnetization comes out at 0.500 μB per atom. Its total energy is -21.12 eV/f.u.

7.
This record from Alexandria via LeMat-Bulk describes an optimized crystal structure of BaNiO. The functional is PBE with a Hubbard U.

a b c (Å): 3.908 8.937 8.578
angles (deg): 90.00 90.00 90.00
Space group Imm2 (No. 44)
Unique sites:
Ba (0.000, 0.205, 0.000)
Ni (0.000, 0.000, 0.418)
Ni (0.000, 0.500, 0.730)
O (0.000, 0.500, 0.511)
O (0.000, 0.500, 0.950)

Properties
The total magnetization comes out at 0.189 μB per atom. For the excess energy over the best structure of this formula in the dataset, the calculation gives 0.247 eV per atom.

8.
This record from Alexandria via LeMat-Bulk describes an optimized crystal structure of BaNiO2. The functional is PBE with a Hubbard U.

a b c (Å): 5.109 5.109 10.763
angles (deg): 90.00 90.00 90.00
Space group I-42d (No. 122)
Unique sites:
Ba (0.000, 0.000, 0.000)
Ni (0.000, 0.000, 0.500)
O (0.149, 0.250, 0.625)

Properties
The total magnetization comes out at 0.500 μB per atom. Its total energy is -20.62 eV/f.u.

9.
This record from Alexandria via LeMat-Bulk describes an optimized crystal structure of BaNiO. The functional is PBE with a Hubbard U.

a b c (Å): 3.8189 3.8189 7.8147
angles (deg): 90.00 90.00 120.00
Space group P6_3/mmc (No. 194)
Unique sites:
Ba (0.0000, 0.0000, 0.0000)
Ni (0.3333, 0.6667, 0.2500)
O (0.3333, 0.6667, 0.7500)

Properties
The total magnetization comes out at 0.000 μB per atom. For the excess energy over the best structure of this formula in the dataset, the calculation gives 0.716 eV per atom.

10.
This record from Alexandria via LeMat-Bulk describes an optimized crystal structure of Ba2NiO. The functional is PBE with a Hubbard U.

a b c (Å): 3.8675 3.8675 25.4253
angles (deg): 90.00 90.00 120.00
Space group R-3m (No. 166, hexagonal axes)
Unique sites:
Ba (0.0000, 0.0000, 0.1052)
Ni (0.0000, 0.0000, 0.0000)
O (0.0000, 0.0000, 0.5000)

Properties
The total magnetization comes out at 0.000 μB per atom. For the excess energy over the best structure of this formula in the dataset, the calculation gives 0.347 eV per atom.

11.
This record from Alexandria via LeMat-Bulk describes an optimized crystal structure of BaNiO. The functional is PBE with a Hubbard U.

a b c (Å): 6.084 6.084 6.084
angles (deg): 90.00 90.00 90.00
Space group F-43m (No. 216)
Unique sites:
Ba (0.000, 0.000, 0.000)
Ni (0.000, 0.000, 0.500)
O (0.250, 0.250, 0.750)

Properties
The total magnetization comes out at 0.019 μB per atom. For the excess energy over the best structure of this formula in the dataset, the calculation gives 0.945 eV per atom.

12.
This record from Alexandria via LeMat-Bulk describes an optimized crystal structure of BaNiO. The functional is PBE with a Hubbard U.

a b c (Å): 5.305 12.802 3.528
angles (deg): 90.00 90.00 90.00
Space group Cmc2_1 (No. 36)
Unique sites:
Ba (0.000, 0.156, 0.000)
Ni (0.000, 0.417, 0.002)
O (0.000, 0.303, 0.500)

Properties
The total magnetization comes out at 0.314 μB per atom. For the excess energy over the best structure of this formula in the dataset, the calculation gives 0.223 eV per atom.

13.
This record from Alexandria via LeMat-Bulk describes an optimized crystal structure of BaNiO. The functional is PBE with a Hubbard U.

a b c (Å): 5.469 9.481 4.809
angles (deg): 90.00 90.00 90.00
Space group Cmcm (No. 63)
Unique sites:
Ba (0.000, 0.183, 0.250)
Ni (0.000, 0.500, 0.000)
O (0.000, 0.338, 0.750)

Properties
The total magnetization comes out at 0.045 μB per atom. For the excess energy over the best structure of this formula in the dataset, the calculation gives 0.097 eV per atom.

14.
This record from Alexandria via LeMat-Bulk describes an optimized crystal structure of Ba2NiOsO6. The functional is PBE with a Hubbard U.

a b c (Å): 5.8117 5.8117 14.2625
angles (deg): 90.00 90.00 120.00
Space group P-3m1 (No. 164)
Unique sites:
Ba (0.0000, 0.0000, 0.2491)
Ba (0.3333, 0.6667, 0.0901)
Ba (0.3333, 0.6667, 0.4036)
Ni (0.0000, 0.0000, 0.0000)
Ni (0.3333, 0.6667, 0.6523)
Os (0.0000, 0.0000, 0.5000)
Os (0.3333, 0.6667, 0.8414)
O (0.0276, 0.5138, 0.7553)
O (0.1585, 0.3170, 0.5780)
O (0.1721, 0.3443, 0.9165)

Properties
The total magnetization comes out at 0.401 μB per atom. Its total energy is -65.65 eV/f.u.

15.
This record from Alexandria via LeMat-Bulk describes an optimized crystal structure of Ba2NiOs3O12. The functional is PBE with a Hubbard U.

a b c (Å): 7.2771 7.2771 16.8539
angles (deg): 90.00 90.00 120.00
Space group R-3m (No. 166, hexagonal axes)
Unique sites:
Ba (0.0000, 0.0000, 0.1282)
Ni (0.0000, 0.0000, 0.5000)
Os (0.0000, 0.5000, 0.0000)
O (0.0454, 0.5227, 0.1096)
O (0.0677, 0.5339, 0.3500)

Properties
The total magnetization comes out at 0.064 μB per atom. Its total energy is -124.68 eV/f.u.

16.
This record from Alexandria via LeMat-Bulk describes an optimized crystal structure of BaNiP2O. The functional is PBE with a Hubbard U.

a b c (Å): 4.162 4.162 5.872
angles (deg): 90.00 90.00 90.00
Space group P4/mmm (No. 123)
Unique sites:
Ba (0.000, 0.000, 0.000)
Ni (0.500, 0.500, 0.500)
P (0.000, 0.500, 0.500)
O (0.500, 0.500, 0.000)

Properties
The total magnetization comes out at 0.395 μB per atom. For the excess energy over the best structure of this formula in the dataset, the calculation gives 0.000 eV per atom.

17.
This record from Alexandria via LeMat-Bulk describes an optimized crystal structure of BaNiP2O. The functional is PBE with a Hubbard U.

a b c (Å): 5.861 5.861 4.378
angles (deg): 90.00 90.00 90.00
Space group P4/mmm (No. 123)
Unique sites:
Ba (0.000, 0.000, 0.000)
Ni (0.500, 0.500, 0.500)
P (0.000, 0.500, 0.000)
O (0.000, 0.000, 0.500)

Properties
The total magnetization comes out at 0.776 μB per atom. For the excess energy over the best structure of this formula in the dataset, the calculation gives 1.640 eV per atom.

18.
This record from Alexandria via LeMat-Bulk describes an optimized crystal structure of BaNi2P2O8. The functional is PBE with a Hubbard U.

a b c (Å): 4.8503 4.8503 23.7725
angles (deg): 90.00 90.00 120.00
Space group R-3 (No. 148, hexagonal axes)
Unique sites:
Ba (0.0000, 0.0000, 0.0000)
Ni (0.0000, 0.0000, 0.1689)
P (0.0000, 0.0000, 0.4275)
O (0.0000, 0.0000, 0.3633)
O (0.0088, 0.3112, 0.5513)

Properties
The total magnetization comes out at 0.307 μB per atom. Its total energy is -85.81 eV/f.u.

19.
This record from Alexandria via LeMat-Bulk describes an optimized crystal structure of BaNiP2O7. The functional is PBE with a Hubbard U.

a b c (Å): 5.338 7.504 7.687
angles (deg): 102.37 91.91 95.07
Space group P-1 (No. 2)
Unique sites:
Ba (0.195, 0.279, 0.435)
Ni (0.179, 0.121, 0.902)
P (0.295, 0.699, 0.898)
P (0.311, 0.770, 0.281)
O (0.092, 0.893, 0.297)
O (0.108, 0.851, 0.910)
O (0.209, 0.537, 0.750)
O (0.270, 0.632, 0.085)
O (0.299, 0.652, 0.419)
O (0.429, 0.121, 0.711)
O (0.432, 0.221, 0.108)

Properties
The total magnetization comes out at 0.179 μB per atom. Its total energy is -75.69 eV/f.u.

20.
This record from Alexandria via LeMat-Bulk describes an optimized crystal structure of BaPaNiO6. The functional is PBE with a Hubbard U.

a b c (Å): 5.8045 5.8045 4.8221
angles (deg): 90.00 90.00 120.00
Space group P312 (No. 149)
Unique sites:
Ba (0.0000, 0.0000, 0.0000)
Pa (0.3333, 0.6667, 0.5000)
Ni (0.6667, 0.3333, 0.0000)
O (0.4171, 0.0113, 0.7505)

Properties
The total magnetization comes out at 0.475 μB per atom. Its total energy is -60.44 eV/f.u.

21.
This record from Alexandria via LeMat-Bulk describes an optimized crystal structure of Ba2Pa3NiO12. The functional is PBE with a Hubbard U.

a b c (Å): 7.9528 7.9528 17.6408
angles (deg): 90.00 90.00 120.00
Space group R-3m (No. 166, hexagonal axes)
Unique sites:
Ba (0.0000, 0.0000, 0.1619)
Pa (0.0000, 0.5000, 0.0000)
Ni (0.0000, 0.0000, 0.5000)
O (0.0832, 0.5416, 0.3801)
O (0.1083, 0.5542, 0.1089)

Properties
The total magnetization comes out at 0.000 μB per atom. Its total energy is -142.60 eV/f.u.

22.
This record from Alexandria via LeMat-Bulk describes an optimized crystal structure of BaPa2NiO8. The functional is PBE with a Hubbard U.

a b c (Å): 5.103 5.470 6.712
angles (deg): 67.78 86.80 82.01
Space group P-1 (No. 2)
Unique sites:
Ba (0.000, 0.000, 0.000)
Pa (0.457, 0.359, 0.303)
Ni (0.000, 0.000, 0.500)
O (0.060, 0.292, 0.245)
O (0.275, 0.664, 0.431)
O (0.297, 0.055, 0.616)
O (0.495, 0.713, 0.023)

Properties
The total magnetization comes out at 0.002 μB per atom. Its total energy is -94.50 eV/f.u.

23.
This record from Alexandria via LeMat-Bulk describes an optimized crystal structure of Ba2PaNi3O12. The functional is PBE with a Hubbard U.

a b c (Å): 6.9894 6.9894 16.3031
angles (deg): 90.00 90.00 120.00
Space group R-3m (No. 166, hexagonal axes)
Unique sites:
Ba (0.0000, 0.0000, 0.1088)
Pa (0.0000, 0.0000, 0.5000)
Ni (0.0000, 0.5000, 0.0000)
O (0.0142, 0.5071, 0.8857)
O (0.0661, 0.5331, 0.3135)

Properties
The total magnetization comes out at 0.168 μB per atom. Its total energy is -105.32 eV/f.u.

Record order is preserved below.
Volume: 14.71, 19.22, 23.31, 20.88, 21.61, 22.69, 24.96, 17.56, 16.45, 27.45, 18.77, 19.97, 20.78, 13.91, 14.31, 20.34, 30.08, 12.42, 13.60, 15.63, 17.89, 14.31, 12.77 A^3/atom